The following is a PBE calculation of a geometry-optimized Tb2Ho5Mg5 structure, from Alexandria via LeMat-Bulk.

Properties
Calculated density, g/cm3: 6.2
Space-group type: C2/m, No. 12
Energy of formation from the pure elements, eV per atom: 0.01
Electronic total energy, eV per atom: -3.331
DOS at the Fermi energy, states/eV/cell: 13.9

The structure in POSCAR format:
```
Tb2Ho5Mg5
1.0
5.276 0.000 0.000
-2.638 6.003 -0.395
0.000 -3.157 10.864
Ho Mg Tb
5 5 2
Cartesian
0.000 4.068 -0.099
2.638 -1.579 5.432
0.000 2.401 7.776
2.638 -1.222 10.568
2.638 0.445 2.693
0.000 0.000 0.000
2.638 2.255 5.441
0.000 2.157 2.381
2.638 0.689 8.088
0.000 0.591 5.028
0.000 -1.271 7.983
2.638 4.117 2.487
```